## FeCuPt3 (PBE)

Data for a relaxed structure of FeCuPt3.

Properties
- space group = C2/c
- energy above the lowest structure with this stoichiometry (meV per atom) = 0
- calculated total energy (eV for the cell shown) = -63.15
- energy of formation (eV/atom) = -0.1792
- total moment (μB per formula unit) = 3.835

a b c (Å): 7.378 7.378 4.630
angles (deg): 95.15 95.15 143.30
Positions (direct):
Fe: 0.149 0.851 0.750
Fe: 0.851 0.149 0.250
Cu: 0.349 0.651 0.750
Cu: 0.651 0.349 0.250
Pt: 0.056 0.944 0.250
Pt: 0.251 0.749 0.250
Pt: 0.444 0.556 0.250
Pt: 0.556 0.444 0.750
Pt: 0.749 0.251 0.750
Pt: 0.944 0.056 0.750

## Cs2RbHg6 (PBE)

Data for a relaxed structure of Cs2RbHg6.

Properties
- space group = P6/mmm
- energy above the lowest structure with this stoichiometry (meV per atom) = 0
- calculated total energy (eV for the cell shown) = -6.83
- energy of formation (eV/atom) = -0.2604
- total moment (μB per formula unit) = 0.000

a b c (Å): 9.420 9.420 4.946
angles (deg): 90.00 90.00 120.00
Positions (direct):
Cs: 0.333 0.667 0.000
Cs: 0.667 0.333 0.000
Rb: 0.000 0.000 0.000
Hg: 0.000 0.331 0.500
Hg: 0.000 0.669 0.500
Hg: 0.331 0.000 0.500
Hg: 0.331 0.331 0.500
Hg: 0.669 0.000 0.500
Hg: 0.669 0.669 0.500